No. 1
Density functional theory data (PBE-GGA) for crystalline GdThFe4 at its relaxed geometry.

Properties
DOS(E_F) (states/eV/f.u.): 4.89
Formation energy from the elements (eV/atom): -0.04

Cell lengths 7.347, 7.347, 7.347 Å; angles 90.00, 90.00, 90.00 degrees
Space group F-43m (No. 216)
One atom of each set of equivalent atoms:
Gd 0.000 0.000 0.000
Th 0.250 0.250 0.250
Fe 0.125 0.125 0.625

No. 2
Density functional theory data (PBE-GGA) for crystalline GdThFe at its relaxed geometry.

Properties
DOS(E_F) (states/eV/f.u.): 4.57
Relative energy among the computed polymorphs (meV/atom): 0.0
Formation energy from the elements (eV/atom): 0.10

Cell lengths 3.466, 3.466, 12.076 Å; angles 90.00, 90.00, 90.00 degrees
Space group I4mm (No. 107)
One atom of each set of equivalent atoms:
Gd 0.000 0.000 0.000
Th 0.000 0.000 0.276
Fe 0.000 0.000 0.654

No. 3
Density functional theory data (PBE-GGA) for crystalline GdThFe at its relaxed geometry.

Properties
DOS(E_F) (states/eV/f.u.): 2.69
Relative energy among the computed polymorphs (meV/atom): 307.9
Formation energy from the elements (eV/atom): 0.41

Cell lengths 4.2775, 4.2775, 4.5949 Å; angles 90.00, 90.00, 120.00 degrees
Space group P3m1 (No. 156)
One atom of each set of equivalent atoms:
Gd 0.0000 0.0000 0.0000
Th 0.6667 0.3333 0.4998
Fe 0.3333 0.6667 0.0015

No. 4
Density functional theory data (PBE-GGA) for crystalline GdTiFe4 at its relaxed geometry.

Properties
DOS(E_F) (states/eV/f.u.): 4.72
Formation energy from the elements (eV/atom): -0.08

Cell lengths 7.061, 7.061, 7.061 Å; angles 90.00, 90.00, 90.00 degrees
Space group F-43m (No. 216)
One atom of each set of equivalent atoms:
Gd 0.000 0.000 0.000
Ti 0.250 0.250 0.250
Fe 0.124 0.124 0.624

No. 5
Density functional theory data (PBE-GGA) for crystalline Gd3TlFe at its relaxed geometry.

Properties
DOS(E_F) (states/eV/f.u.): 5.36
Formation energy from the elements (eV/atom): -0.06

Cell lengths 5.168, 5.168, 5.168 Å; angles 90.00, 90.00, 90.00 degrees
Space group Pm-3m (No. 221)
One atom of each set of equivalent atoms:
Gd 0.000 0.000 0.500
Tl 0.500 0.500 0.500
Fe 0.000 0.000 0.000

No. 6
Density functional theory data (PBE-GGA) for crystalline Gd2TmFe at its relaxed geometry.

Properties
DOS(E_F) (states/eV/f.u.): 5.90
Relative energy among the computed polymorphs (meV/atom): 105.2
Formation energy from the elements (eV/atom): 0.20

Cell lengths 3.5854, 3.5854, 29.0604 Å; angles 90.00, 90.00, 120.00 degrees
Space group R-3m (No. 166, hexagonal axes)
One atom of each set of equivalent atoms:
Gd 0.0000 0.0000 0.2296
Tm 0.0000 0.0000 0.0000
Fe 0.0000 0.0000 0.5000

No. 7
Density functional theory data (PBE-GGA) for crystalline GdTm2Fe at its relaxed geometry.

Properties
DOS(E_F) (states/eV/f.u.): 4.27
Relative energy among the computed polymorphs (meV/atom): 139.9
Formation energy from the elements (eV/atom): 0.18

Cell lengths 3.5115, 3.5115, 29.0666 Å; angles 90.00, 90.00, 120.00 degrees
Space group R-3m (No. 166, hexagonal axes)
One atom of each set of equivalent atoms:
Gd 0.0000 0.0000 0.0000
Tm 0.0000 0.0000 0.2289
Fe 0.0000 0.0000 0.5000

No. 8
Density functional theory data (PBE-GGA) for crystalline GdTm2Fe at its relaxed geometry.

Properties
DOS(E_F) (states/eV/f.u.): 4.49
Relative energy among the computed polymorphs (meV/atom): 0.0
Formation energy from the elements (eV/atom): 0.04

Cell lengths 3.318, 3.318, 8.943 Å; angles 90.00, 90.00, 90.00 degrees
Space group P4/mmm (No. 123)
One atom of each set of equivalent atoms:
Gd 0.000 0.000 0.000
Tm 0.500 0.500 0.323
Fe 0.000 0.000 0.500

No. 9
Density functional theory data (PBE-GGA) for crystalline GdTmFe at its relaxed geometry.

Properties
DOS(E_F) (states/eV/f.u.): 2.43
Formation energy from the elements (eV/atom): 0.03

Cell lengths 3.333, 3.333, 12.690 Å; angles 90.00, 90.00, 90.00 degrees
Space group I4mm (No. 107)
One atom of each set of equivalent atoms:
Gd 0.000 0.000 0.000
Tm 0.000 0.000 0.252
Fe 0.000 0.000 0.629

No. 10
Density functional theory data (PBE-GGA) for crystalline GdTm3Fe at its relaxed geometry.

Properties
DOS(E_F) (states/eV/f.u.): 7.88
Formation energy from the elements (eV/atom): 0.06

Cell lengths 5.196, 5.196, 5.196 Å; angles 90.00, 90.00, 90.00 degrees
Space group Pm-3m (No. 221)
One atom of each set of equivalent atoms:
Gd 0.000 0.000 0.000
Tm 0.000 0.500 0.500
Fe 0.500 0.500 0.500

No. 11
Density functional theory data (PBE-GGA) for crystalline Gd2TmFe at its relaxed geometry.

Properties
DOS(E_F) (states/eV/f.u.): 5.92
Relative energy among the computed polymorphs (meV/atom): 0.0
Formation energy from the elements (eV/atom): 0.10

Cell lengths 3.475, 3.475, 8.571 Å; angles 90.00, 90.00, 90.00 degrees
Space group P4/mmm (No. 123)
One atom of each set of equivalent atoms:
Gd 0.000 0.000 0.191
Tm 0.500 0.500 0.500
Fe 0.500 0.500 0.000

No. 12
Density functional theory data (PBE-GGA) for crystalline GdTmZnFe at its relaxed geometry.

Properties
DOS(E_F) (states/eV/f.u.): 3.90
Formation energy from the elements (eV/atom): -0.06

Cell lengths 6.906, 6.906, 6.906 Å; angles 90.00, 90.00, 90.00 degrees
Space group F-43m (No. 216)
One atom of each set of equivalent atoms:
Gd 0.000 0.000 0.000
Tm 0.000 0.000 0.500
Zn 0.250 0.250 0.750
Fe 0.250 0.250 0.250

No. 13
Density functional theory data (PBE-GGA) for crystalline GdUFe at its relaxed geometry.

Properties
DOS(E_F) (states/eV/f.u.): 4.59
Relative energy among the computed polymorphs (meV/atom): 0.0
Formation energy from the elements (eV/atom): 0.08

Cell lengths 3.333, 3.333, 11.085 Å; angles 90.00, 90.00, 90.00 degrees
Space group I4mm (No. 107)
One atom of each set of equivalent atoms:
Gd 0.000 0.000 0.000
U 0.000 0.000 0.707
Fe 0.000 0.000 0.288

No. 14
Density functional theory data (PBE-GGA) for crystalline GdUFe4 at its relaxed geometry.

Properties
DOS(E_F) (states/eV/f.u.): 12.25
Formation energy from the elements (eV/atom): 0.00

Cell lengths 7.189, 7.189, 7.189 Å; angles 90.00, 90.00, 90.00 degrees
Space group F-43m (No. 216)
One atom of each set of equivalent atoms:
Gd 0.000 0.000 0.000
U 0.250 0.250 0.750
Fe 0.125 0.125 0.375

No. 15
Density functional theory data (PBE-GGA) for crystalline GdUFe at its relaxed geometry.

Properties
DOS(E_F) (states/eV/f.u.): 4.70
Relative energy among the computed polymorphs (meV/atom): 117.2
Formation energy from the elements (eV/atom): 0.19

Cell lengths 3.4633, 3.4633, 6.2002 Å; angles 90.00, 90.00, 120.00 degrees
Space group P3m1 (No. 156)
One atom of each set of equivalent atoms:
Gd 0.0000 0.0000 0.0000
U 0.6667 0.3333 0.4398
Fe 0.3333 0.6667 0.6535

No. 16
Density functional theory data (PBE-GGA) for crystalline GdVFe4 at its relaxed geometry.

Properties
DOS(E_F) (states/eV/f.u.): 4.73
Formation energy from the elements (eV/atom): 0.05

Cell lengths 7.032, 7.032, 7.032 Å; angles 90.00, 90.00, 90.00 degrees
Space group F-43m (No. 216)
One atom of each set of equivalent atoms:
Gd 0.000 0.000 0.000
V 0.250 0.250 0.750
Fe 0.124 0.124 0.376

No. 17
Density functional theory data (PBE-GGA) for crystalline GdV2Fe at its relaxed geometry.

Properties
DOS(E_F) (states/eV/f.u.): 5.76
Formation energy from the elements (eV/atom): 0.48

Cell lengths 6.226, 6.226, 6.226 Å; angles 90.00, 90.00, 90.00 degrees
Space group Fm-3m (No. 225)
One atom of each set of equivalent atoms:
Gd 0.000 0.000 0.000
V 0.250 0.250 0.250
Fe 0.000 0.000 0.500

No. 18
Density functional theory data (PBE-GGA) for crystalline GdFe4W at its relaxed geometry.

Properties
DOS(E_F) (states/eV/f.u.): 6.75
Formation energy from the elements (eV/atom): 0.19

Cell lengths 6.996, 6.996, 6.996 Å; angles 90.00, 90.00, 90.00 degrees
Space group F-43m (No. 216)
One atom of each set of equivalent atoms:
Gd 0.000 0.000 0.000
Fe 0.124 0.124 0.624
W 0.250 0.250 0.250

No. 19
Density functional theory data (PBE-GGA) for crystalline GdFe2W at its relaxed geometry.

Properties
DOS(E_F) (states/eV/f.u.): 3.99
Relative energy among the computed polymorphs (meV/atom): 0.0
Formation energy from the elements (eV/atom): 0.18

Cell lengths 3.033, 3.033, 6.949 Å; angles 90.00, 90.00, 90.00 degrees
Space group P4/mmm (No. 123)
One atom of each set of equivalent atoms:
Gd 0.000 0.000 0.000
Fe 0.500 0.500 0.304
W 0.000 0.000 0.500

No. 20
Density functional theory data (PBE-GGA) for crystalline GdFe2W at its relaxed geometry.

Properties
DOS(E_F) (states/eV/f.u.): 5.28
Relative energy among the computed polymorphs (meV/atom): 68.1
Formation energy from the elements (eV/atom): 0.24

Cell lengths 4.1907, 4.1907, 13.9119 Å; angles 90.00, 90.00, 120.00 degrees
Space group R-3m (No. 166, hexagonal axes)
One atom of each set of equivalent atoms:
Gd 0.0000 0.0000 0.0000
Fe 0.0000 0.0000 0.2037
W 0.0000 0.0000 0.5000